Run one
Compound: Pr3Tl2Ag
Source: Alexandria
Functional: PBE
Structure: optimized geometry

The space group is P-3m1 (No. 164) and the conventional cell measures 5.4862, 5.4862 and 13.5818 Å, with angles of 90.00, 90.00 and 120.00 degrees. Symmetry generates all atoms from Pr at (0.0000, 0.0000, 0.2439), Pr at (0.3333, 0.6667, 0.4093), Pr at (0.3333, 0.6667, 0.9156), Tl at (0.0000, 0.0000, 0.0000), Tl at (0.0000, 0.0000, 0.5000), Tl at (0.3333, 0.6667, 0.6666) and Ag at (0.3333, 0.6667, 0.1631).

The density of states at the Fermi level comes out at 14.1 states/eV/cell.

***

Run two
Compound: Pr3Tl2Ag
Source: Alexandria
Functional: PBE
Structure: optimized geometry

The space group is C2/c (No. 15) and the conventional cell measures 16.256, 6.666 and 6.640 Å, with angles of 90.00, 103.32 and 90.00 degrees. Symmetry generates all atoms from Pr at (0.000, 0.143, 0.250), Pr at (0.165, 0.393, 0.590), Tl at (0.164, 0.115, 0.046) and Ag at (0.000, 0.357, 0.750).

The density of states at the Fermi level comes out at 19.5 states/eV/cell.

***

Which of them is most stable, and which least? Most stable: run one; least stable: run two.

***

Run one
Compound: Pr6TlAg
Source: Alexandria
Functional: PBE
Structure: optimized geometry

The space group is I4/mmm (No. 139) and the conventional cell measures 5.330, 5.330 and 18.339 Å, with angles of 90.00, 90.00 and 90.00 degrees. Symmetry generates all atoms from Pr at (0.000, 0.000, 0.249), Pr at (0.000, 0.500, 0.110), Tl at (0.000, 0.000, 0.000) and Ag at (0.000, 0.000, 0.500).

The density of states at the Fermi level comes out at 18.4 states/eV/cell.

***

Run two
Compound: Pr6TlAg
Source: Alexandria
Functional: PBE
Structure: optimized geometry

The space group is P-1 (No. 2) and the conventional cell measures 6.364, 6.366 and 6.367 Å, with angles of 93.43, 93.55 and 93.59 degrees. Symmetry generates all atoms from Pr at (0.027, 0.254, 0.052), Pr at (0.247, 0.948, 0.470), Pr at (0.448, 0.471, 0.746), Tl at (0.500, 0.000, 0.000) and Ag at (0.000, 0.500, 0.500).

The density of states at the Fermi level comes out at 8.8 states/eV/cell.

***

Which of them is most stable, and which least? Most stable: run one; least stable: run two.